[1]
Entry from Alexandria: a relaxed structure of ZnNiSn2Pb (PBE).

a = 5.0612 Å, b = 5.0612 Å, c = 4.6971 Å
α = 90.00°, β = 90.00°, γ = 90.00°
With the nearest neighbours (Å) after each atom.
Space group P4/mmm (No. 123)
One atom of each set of equivalent atoms:
Zn: 0.0000 0.0000 0.0000 (multiplicity 1)  2 Ni 2.35
Ni: 0.0000 0.0000 0.5000 (multiplicity 1)  2 Zn 2.35, 4 Sn 2.53
Sn: 0.0000 0.5000 0.5000 (multiplicity 2)  2 Ni 2.53
Pb: 0.5000 0.5000 0.0000 (multiplicity 1)  8 Sn 3.45, 4 Zn 3.58

Output
**Magnetization**: 0.0 Bohr magnetons per cell

[2]
Entry from Alexandria: a relaxed structure of SrNi3Pb (PBE).

a = 4.8628 Å, b = 4.8628 Å, c = 4.8628 Å
α = 90.00°, β = 90.00°, γ = 90.00°
With the nearest neighbours (Å) after each atom.
Space group Pm-3m (No. 221)
One atom of each set of equivalent atoms:
Sr: 0.0000 0.0000 0.0000 (multiplicity 1)  6 Ni 2.43
Ni: 0.0000 0.0000 0.5000 (multiplicity 3)  2 Sr 2.43
Pb: 0.5000 0.5000 0.5000 (multiplicity 1)  12 Ni 3.44

Output
**ΔE to the lowest computed polymorph**: 20.31 kcal/mol of atoms
**Magnetization**: 0.0 Bohr magnetons per cell

[3]
Entry from Alexandria: a relaxed structure of SrNiPb2 (PBE).

a = 5.0654 Å, b = 3.8766 Å, c = 6.2420 Å
α = 90.00°, β = 113.80°, γ = 90.00°
With the nearest neighbours (Å) after each atom.
Space group Pm (No. 6)
One atom of each set of equivalent atoms:
Sr: 0.0000 0.0000 0.0000 (multiplicity 1)  4 Ni 3.22, 3 Pb 3.40-3.43
Ni: 0.4597 0.5000 0.9205 (multiplicity 1)  3 Pb 2.68
Pb: 0.2981 0.0000 0.5952 (multiplicity 1)  2 Ni 2.68
Pb: 0.6952 0.5000 0.3903 (multiplicity 1)  1 Ni 2.68

Output
**Magnetization**: 0.0 Bohr magnetons per cell

[4]
Entry from Alexandria: a relaxed structure of SrNiPb2 (PBE).

a = 3.7191 Å, b = 3.7191 Å, c = 7.8683 Å
α = 90.00°, β = 90.00°, γ = 90.00°
With the nearest neighbours (Å) after each atom.
Space group P4mm (No. 99)
One atom of each set of equivalent atoms:
Sr: 0.0000 0.0000 0.0000 (multiplicity 1)  5 Pb 3.25-3.61, 4 Ni 3.50
Ni: 0.5000 0.5000 0.2942 (multiplicity 1)  5 Pb 2.79-3.08
Pb: 0.0000 0.0000 0.4127 (multiplicity 1)  4 Ni 2.79
Pb: 0.5000 0.5000 0.6854 (multiplicity 1)  1 Ni 3.08, 4 Pb 3.39

Output
**Magnetization**: 0.0 Bohr magnetons per cell

[5]
Entry from Alexandria: a relaxed structure of SrNi2Pb (PBE).

a = 4.8731 Å, b = 4.8731 Å, c = 17.6155 Å
α = 90.00°, β = 90.00°, γ = 90.00°
With the nearest neighbours (Å) after each atom.
Space group I-42d (No. 122)
One atom of each set of equivalent atoms:
Sr: 0.0000 0.0000 0.0000 (multiplicity 4)  8 Ni 3.41-3.60, 4 Pb 3.45
Ni: 0.0285 0.7500 0.6250 (multiplicity 8)  2 Ni 2.45, 2 Pb 2.52
Pb: 0.0000 0.0000 0.5000 (multiplicity 4)  4 Ni 2.52

Output
**Magnetization**: 0.0 Bohr magnetons per cell

[6]
Entry from Alexandria: a relaxed structure of SrNiPb2 (PBE).

a = 6.0214 Å, b = 9.0413 Å, c = 4.2207 Å
α = 90.00°, β = 90.00°, γ = 90.00°
With the nearest neighbours (Å) after each atom.
Space group Cmmm (No. 65)
One atom of each set of equivalent atoms:
Sr: 0.0000 0.0000 0.0000 (multiplicity 2)  2 Ni 3.01
Ni: 0.0000 0.5000 0.0000 (multiplicity 2)  4 Pb 2.66
Pb: 0.0000 0.3214 0.5000 (multiplicity 4)  2 Ni 2.66

Output
**Magnetization**: 0.0 Bohr magnetons per cell

[7]
Entry from Alexandria: a relaxed structure of SrNiPb2 (PBE).

a = 5.4287 Å, b = 5.4287 Å, c = 17.6442 Å
α = 90.00°, β = 90.00°, γ = 90.00°
With the nearest neighbours (Å) after each atom.
Space group I-42d (No. 122)
One atom of each set of equivalent atoms:
Sr: 0.0000 0.0000 0.0000 (multiplicity 4)  4 Pb 3.31
Ni: 0.0000 0.0000 0.5000 (multiplicity 4)  4 Pb 2.67
Pb: 0.1202 0.2500 0.6250 (multiplicity 8)  2 Ni 2.67

Output
**Magnetization**: 0.0 Bohr magnetons per cell

[8]
Entry from Alexandria: a relaxed structure of Sr3NiPb (PBE).

a = 5.6667 Å, b = 5.6667 Å, c = 5.6667 Å
α = 90.00°, β = 90.00°, γ = 90.00°
With the nearest neighbours (Å) after each atom.
Space group Pm-3m (No. 221)
One atom of each set of equivalent atoms:
Sr: 0.0000 0.0000 0.5000 (multiplicity 3)  2 Ni 2.83
Ni: 0.0000 0.0000 0.0000 (multiplicity 1)  6 Sr 2.83
Pb: 0.5000 0.5000 0.5000 (multiplicity 1)  12 Sr 4.01

Output
**ΔE to the lowest computed polymorph**: 0.00 kcal/mol of atoms
**Magnetization**: 0.0 Bohr magnetons per cell

Number 1: ΔH_f (0 K) 80 meV per atom, energy -18.37 eV per cell. Number 2: ΔH_f (0 K) 1421 meV per atom, energy -15.63 eV per cell. Number 3: ΔH_f (0 K) -88 meV per atom, energy -15.23 eV per cell. Number 4: ΔH_f (0 K) 16 meV per atom, energy -14.82 eV per cell. Number 5: ΔH_f (0 K) 144 meV per atom, energy -65.52 eV per cell. Number 6: ΔH_f (0 K) -175 meV per atom, energy -31.16 eV per cell. Number 7: ΔH_f (0 K) 97 meV per atom, energy -57.97 eV per cell. Number 8: ΔH_f (0 K) -146 meV per atom, energy -15.26 eV per cell.